# Ba6Te5Cl (PBE, optimized geometry)
data_Ba6Te5Cl
_cell_length_a 8.564
_cell_length_b 14.834
_cell_length_c 8.571
_cell_angle_alpha 90.00
_cell_angle_beta 109.45
_cell_angle_gamma 90.00
_space_group_name_H-M_alt 'C 1 2/m 1'
_space_group_IT_number 12
_space_group_name_Hall '-C 2y'
loop_
_atom_site_label
_atom_site_type_symbol
_atom_site_fract_x
_atom_site_fract_y
_atom_site_fract_z
Ba1 Ba 0.249 0.000 0.251
Ba2 Ba 0.249 0.167 0.749
Te1 Te 0.000 0.000 0.500
Te2 Te 0.000 0.167 0.000
Te3 Te 0.000 0.333 0.500
Cl1 Cl 0.000 0.500 0.000
# uncorrected energy	-4.23	eV/atom
# D(E_F)	0.2601	states/eV per atom
# ρ	4.8	g/cm3
# formation energy without anion corrections	-174.2	kJ/mol of atoms